Material: AsCSe2S
Method: DFT, PBE
State: relaxed

Unit cell a=4.2799 b=4.2799 c=4.7159 alpha=90.00 beta=90.00 gamma=90.00
Element x y z (fractional)
1 As 0.0000 0.0000 0.0000
2 C 0.0000 0.0000 0.5000
3 Se 0.0000 0.5000 0.5000
4 Se 0.5000 0.0000 0.5000
5 S 0.5000 0.5000 0.0000

Output
- ΔE_f (raw): 1.280 eV/atom
- Total magnetization: 0.00 μB per atom
- Distance to the lowest polymorph of the same formula: 0 meV/atom
- Crystal system: tetragonal